Entry 1:
A plane-wave DFT calculation with PBE was carried out for crystalline Na3Pa2CrN6 at its relaxed geometry.

The structure in POSCAR format:
```
Na3Pa2CrN6
1.0
2.902 -5.035 0.000
2.902 5.035 0.000
-1.879 0.000 5.695
Na Pa Cr N
3 2 1 6
direct
0.000 0.000 0.000 Na
0.348 0.652 0.000 Na
0.652 0.348 0.000 Na
0.167 0.833 0.500 Pa
0.833 0.167 0.500 Pa
0.500 0.500 0.500 Cr
0.133 0.440 0.314 N
0.247 0.247 0.685 N
0.440 0.133 0.314 N
0.560 0.867 0.686 N
0.753 0.753 0.315 N
0.867 0.560 0.686 N
```

* raw formation energy: -9.4 eV per formula unit
* calculated total energy: -7.661 eV/atom
* total magnetization: 1.0 μB per formula unit
* space group: No. 12
* N(E_F): 3.8 states/eV per cell

Entry 2:
A plane-wave DFT calculation with PBE was carried out for crystalline PtCIF2 at its relaxed geometry.

The structure in POSCAR format:
```
PtCIF2
1.0
4.442 0.000 0.000
0.000 4.442 0.000
0.000 0.000 3.985
Pt C I F
1 1 1 2
direct
0.000 0.000 0.000 Pt
0.000 0.000 0.500 C
0.500 0.500 0.500 I
0.000 0.500 0.000 F
0.500 0.000 0.000 F
```

* raw formation energy: 1.6 eV per formula unit
* calculated total energy: -3.799 eV/atom
* total magnetization: 0.0 μB per formula unit
* space group: No. 123
* N(E_F): 6.1 states/eV per cell

Entry 3:
A plane-wave DFT calculation with PBE was carried out for crystalline LaYAs2 at its relaxed geometry.

The structure in POSCAR format:
```
LaYAs2
1.0
2.128 1.229 6.926
-2.128 1.229 6.926
0.000 -2.457 6.926
La Y As
1 1 2
direct
0.000 0.000 0.000 La
0.500 0.500 0.500 Y
0.246 0.246 0.246 As
0.754 0.754 0.754 As
```

* calculated total energy: -6.729 eV/atom
* total magnetization: 0.0 μB per formula unit
* energy of formation: -1.56 eV per atom
* space group: No. 166
* N(E_F): 0.4 states/eV per cell

Entry 4:
A plane-wave DFT calculation with PBE was carried out for crystalline Sm2MnPd9 at its relaxed geometry.

The structure in POSCAR format:
```
Sm2MnPd9
1.0
4.127 0.000 0.000
0.000 4.127 0.000
0.000 0.000 12.081
Sm Mn Pd
2 1 9
direct
0.000 0.000 0.175 Sm
0.000 0.000 0.825 Sm
0.000 0.000 0.500 Mn
0.000 0.500 0.000 Pd
0.000 0.500 0.349 Pd
0.000 0.500 0.651 Pd
0.500 0.000 0.000 Pd
0.500 0.000 0.349 Pd
0.500 0.000 0.651 Pd
0.500 0.500 0.173 Pd
0.500 0.500 0.500 Pd
0.500 0.500 0.827 Pd
```

* calculated total energy: -6.036 eV/atom
* total magnetization: 4.2 μB per formula unit
* energy of formation: -0.59 eV per atom
* space group: No. 123
* N(E_F): 10.9 states/eV per cell

Entry 5:
A plane-wave DFT calculation with PBE was carried out for crystalline HfTlS2 at its relaxed geometry.

The structure in POSCAR format:
```
HfTlS2
1.0
1.970 1.138 9.051
-1.970 1.138 9.051
0.000 -2.275 9.051
Hf Tl S
1 1 2
direct
0.000 0.000 0.000 Hf
0.486 0.486 0.486 Tl
0.087 0.087 0.087 S
0.629 0.629 0.629 S
```

* raw formation energy: -3.1 eV per formula unit
* calculated total energy: -5.919 eV/atom
* total magnetization: 0.7 μB per formula unit
* space group: No. 160
* N(E_F): 3.1 states/eV per cell

Entry 6:
A plane-wave DFT calculation with PBE was carried out for crystalline NdEuN at its relaxed geometry.

The structure in POSCAR format:
```
NdEuN
1.0
0.000 3.125 3.125
3.125 0.000 3.125
3.125 3.125 0.000
Nd Eu N
1 1 1
direct
0.000 0.000 0.000 Nd
0.500 0.500 0.500 Eu
0.750 0.750 0.750 N
```

* raw formation energy: -0.8 eV per formula unit
* calculated total energy: -8.068 eV/atom
* total magnetization: 7.3 μB per formula unit
* space group: No. 216
* N(E_F): 2.7 states/eV per cell